# 1
The following is a DFT calculation (GGA-PBE) of a geometry-optimized CsRbS2O6 structure.

The mass density is 2.91 Mg/m³. As for the total energy: -5.458 eV/atom. The size of the total moment is 1.3 μB per cell. The crystal system is monoclinic.

Cell: 11.1086 11.5757 7.0092 Å, 90.00 106.55 90.00°
Last column: nearest neighbours and their distance in Å.
Space group C2/c (No. 15)
Inequivalent atoms, fractional coordinates:
Cs  0.0000  0.1722  0.2500  6 O 3.14-3.20
Rb  0.0000  0.3775  0.7500  6 O 2.93-3.00
S  0.2317  0.0744  0.7628  3 O 1.49-1.51
O  0.1292  0.4076  0.1733  1 S 1.50
O  0.1618  0.1840  0.6989  1 S 1.49
O  0.1935  0.0207  0.1092  1 S 1.51



# 2
The following is a DFT calculation (GGA-PBE) of a geometry-optimized Ba2SrF6 structure.

The mass density is 4.56 Mg/m³. As for the total energy: -5.754 eV/atom. The size of the total moment is 0.4 μB per cell. The crystal system is orthorhombic.

Cell: 4.3459 6.1490 12.9815 Å, 90.00 90.00 90.00°
Last column: nearest neighbours and their distance in Å.
Space group Immm (No. 71)
Inequivalent atoms, fractional coordinates:
Ba  0.0000  0.0000  0.1653  8 F 2.69-2.71
Sr  0.0000  0.0000  0.5000  8 F 2.56-2.60
F  0.0000  0.2419  0.3400  1 Sr 2.56, 3 Ba 2.69-2.71
F  0.0000  0.2666  0.0000  2 Sr 2.60, 2 Ba 2.70, 1 F 2.87